A.
K2RbCdH | GGA-PBE | relaxed

Properties
Crystal system: tetragonal
ρ (Mg/m³): 2.43
Space-group type: No. 123
Volume (A^3/atom): 37.83

abc: 5.649 5.649 5.926
angles: 90.00 90.00 90.00
Sites, in units of the cell vectors:
Rb (0.000, 0.000, 0.500)
Cd (0.500, 0.500, 0.500)
K (0.500, 0.000, 0.000)
K (0.000, 0.500, 0.000)
H (0.000, 0.000, 0.000)

B.
K2RbCdH | GGA-PBE | relaxed

Properties
Crystal system: tetragonal
ρ (Mg/m³): 2.20
Space-group type: No. 123
Volume (A^3/atom): 41.92

abc: 5.606 5.606 6.669
angles: 90.00 90.00 90.00
Sites, in units of the cell vectors:
Cd (0.000, 0.000, 0.500)
K (0.000, 0.500, 0.000)
K (0.500, 0.000, 0.000)
H (0.000, 0.000, 0.000)
Rb (0.500, 0.500, 0.500)

Name the least stable of them. B.

A.
K2CdSbH | GGA-PBE | relaxed

Properties
Crystal system: tetragonal
ρ (Mg/m³): 3.99
Space-group type: No. 123
Volume (A^3/atom): 26.09

abc: 4.894 4.894 5.447
angles: 90.00 90.00 90.00
Sites, in units of the cell vectors:
K (0.000, 0.500, 0.000)
K (0.500, 0.000, 0.000)
H (0.000, 0.000, 0.000)
Sb (0.500, 0.500, 0.500)
Cd (0.000, 0.000, 0.500)

B.
K2CdSbH | GGA-PBE | relaxed

Properties
Crystal system: monoclinic
ρ (Mg/m³): 3.53
Space-group type: No. 11
Volume (A^3/atom): 29.47

abc: 4.846 7.508 8.501
angles: 107.70 90.00 90.00
Sites, in units of the cell vectors:
K (0.750, 0.876, 0.626)
K (0.250, 0.254, 0.952)
K (0.750, 0.746, 0.048)
K (0.250, 0.124, 0.374)
Sb (0.250, 0.635, 0.327)
Sb (0.750, 0.365, 0.673)
Cd (0.250, 0.581, 0.677)
Cd (0.750, 0.419, 0.323)
H (0.750, 0.167, 0.172)
H (0.250, 0.833, 0.828)

Name the least stable of them. A.

A.
La2YCdH | GGA-PBE | relaxed

Properties
Crystal system: tetragonal
ρ (Mg/m³): 6.27
Space-group type: No. 123
Volume (A^3/atom): 25.43

abc: 4.967 4.967 5.153
angles: 90.00 90.00 90.00
Sites, in units of the cell vectors:
La (0.500, 0.000, 0.000)
La (0.000, 0.500, 0.000)
Cd (0.500, 0.500, 0.500)
H (0.000, 0.000, 0.000)
Y (0.000, 0.000, 0.500)

B.
La2YCdH | GGA-PBE | relaxed

Properties
Crystal system: tetragonal
ρ (Mg/m³): 6.34
Space-group type: No. 123
Volume (A^3/atom): 25.14

abc: 5.007 5.007 5.013
angles: 90.00 90.00 90.00
Sites, in units of the cell vectors:
La (0.500, 0.000, 0.000)
La (0.000, 0.500, 0.000)
H (0.000, 0.000, 0.000)
Cd (0.000, 0.000, 0.500)
Y (0.500, 0.500, 0.500)

Name the least stable of them. B.

A.
LiCdH | GGA-PBE | relaxed

Properties
Crystal system: trigonal
ρ (Mg/m³): 4.45
Space-group type: No. 156
Volume (A^3/atom): 14.96

abc: 3.033 3.033 5.635
angles: 90.00 90.00 120.00
Sites, in units of the cell vectors:
Li (0.667, 0.333, 0.498)
Cd (0.000, 0.000, 0.999)
H (0.333, 0.667, 0.503)

B.
LiCdH | GGA-PBE | relaxed

Properties
Crystal system: monoclinic
ρ (Mg/m³): 4.80
Space-group type: No. 7
Volume (A^3/atom): 13.89

abc: 3.500 3.696 6.444
angles: 90.01 90.04 90.00
Sites, in units of the cell vectors:
Li (0.314, 0.635, 0.167)
Li (0.814, 0.136, 0.994)
Cd (0.812, 0.129, 0.445)
Cd (0.313, 0.629, 0.716)
H (0.814, 0.636, 0.064)
H (0.314, 0.136, 0.096)

Name the least stable of them. B.

A.
Li2CdH2 | GGA-PBE | relaxed

Properties
Crystal system: tetragonal
ρ (Mg/m³): 3.41
Space-group type: No. 139
Volume (A^3/atom): 12.51

abc: 3.531 3.531 5.603
angles: 71.63 71.63 90.00
Sites, in units of the cell vectors:
Cd (0.000, 0.000, 0.000)
H (0.750, 0.250, 0.500)
H (0.250, 0.750, 0.500)
Li (0.307, 0.307, 0.386)
Li (0.693, 0.693, 0.614)

B.
Li2CdH2 | GGA-PBE | relaxed

Properties
Crystal system: tetragonal
ρ (Mg/m³): 3.15
Space-group type: No. 127
Volume (A^3/atom): 13.52

abc: 7.029 7.029 2.736
angles: 90.00 90.00 90.00
Sites, in units of the cell vectors:
H (0.114, 0.614, 0.500)
H (0.614, 0.886, 0.500)
H (0.386, 0.114, 0.500)
H (0.886, 0.386, 0.500)
Cd (0.000, 0.000, 0.000)
Cd (0.500, 0.500, 0.000)
Li (0.612, 0.112, 0.000)
Li (0.388, 0.888, 0.000)
Li (0.888, 0.612, 0.000)
Li (0.112, 0.388, 0.000)

C.
Li2CdH2 | GGA-PBE | relaxed

Properties
Crystal system: tetragonal
ρ (Mg/m³): 3.40
Space-group type: No. 127
Volume (A^3/atom): 12.52

abc: 6.442 6.442 3.018
angles: 90.00 90.00 90.00
Sites, in units of the cell vectors:
Li (0.810, 0.310, 0.500)
Li (0.190, 0.690, 0.500)
Li (0.310, 0.190, 0.500)
Li (0.690, 0.810, 0.500)
H (0.677, 0.177, 0.000)
H (0.823, 0.677, 0.000)
H (0.177, 0.323, 0.000)
H (0.323, 0.823, 0.000)
Cd (0.000, 0.000, 0.000)
Cd (0.500, 0.500, 0.000)

Name the least stable of them. B.

A.
LiCd2H | GGA-PBE | relaxed

Properties
Crystal system: cubic
ρ (Mg/m³): 5.81
Space-group type: No. 225
Volume (A^3/atom): 16.64

abc: 4.549 4.549 4.549
angles: 60.00 60.00 60.00
Sites, in units of the cell vectors:
H (0.000, 0.000, 0.000)
Li (0.500, 0.500, 0.500)
Cd (0.250, 0.250, 0.250)
Cd (0.750, 0.750, 0.750)

B.
LiCd2H | GGA-PBE | relaxed

Properties
Crystal system: tetragonal
ρ (Mg/m³): 5.71
Space-group type: No. 122
Volume (A^3/atom): 16.93

abc: 7.168 7.168 5.713
angles: 51.14 51.14 90.00
Sites, in units of the cell vectors:
Cd (0.875, 0.796, 0.750)
Cd (0.204, 0.625, 0.250)
Cd (0.546, 0.125, 0.250)
Cd (0.375, 0.454, 0.750)
H (0.250, 0.750, 0.500)
H (0.500, 0.500, 0.000)
Li (0.000, 0.000, 0.000)
Li (0.750, 0.250, 0.500)

Name the least stable of them. A.

A.
Na2LiCdH | GGA-PBE | relaxed

Properties
Crystal system: tetragonal
ρ (Mg/m³): 2.75
Space-group type: No. 123
Volume (A^3/atom): 20.08

abc: 4.948 4.948 4.100
angles: 90.00 90.00 90.00
Sites, in units of the cell vectors:
H (0.000, 0.000, 0.000)
Li (0.000, 0.000, 0.500)
Cd (0.500, 0.500, 0.500)
Na (0.500, 0.000, 0.000)
Na (0.000, 0.500, 0.000)

B.
Na2LiCdH | GGA-PBE | relaxed

Properties
Crystal system: tetragonal
ρ (Mg/m³): 2.62
Space-group type: No. 123
Volume (A^3/atom): 21.06

abc: 4.523 4.523 5.148
angles: 90.00 90.00 90.00
Sites, in units of the cell vectors:
H (0.000, 0.000, 0.000)
Li (0.500, 0.500, 0.500)
Na (0.000, 0.500, 0.000)
Na (0.500, 0.000, 0.000)
Cd (0.000, 0.000, 0.500)

Name the least stable of them. B.

A.
LiCdHPd2 | GGA-PBE | relaxed

Properties
Crystal system: tetragonal
ρ (Mg/m³): 8.47
Space-group type: No. 123
Volume (A^3/atom): 13.06

abc: 4.037 4.037 4.008
angles: 90.00 90.00 90.00
Sites, in units of the cell vectors:
H (0.000, 0.000, 0.000)
Pd (0.000, 0.500, 0.000)
Pd (0.500, 0.000, 0.000)
Li (0.000, 0.000, 0.500)
Cd (0.500, 0.500, 0.500)

B.
LiCdHPd2 | GGA-PBE | relaxed

Properties
Crystal system: tetragonal
ρ (Mg/m³): 8.22
Space-group type: No. 123
Volume (A^3/atom): 13.46

abc: 4.006 4.006 4.193
angles: 90.00 90.00 90.00
Sites, in units of the cell vectors:
Pd (0.000, 0.500, 0.000)
Pd (0.500, 0.000, 0.000)
Cd (0.000, 0.000, 0.500)
H (0.000, 0.000, 0.000)
Li (0.500, 0.500, 0.500)

Name the least stable of them. B.